Computed, not measured: a geometry-optimized CoSb2O4 structure at the PBE+U level of DFT.

Geometry as POSCAR:
```
CoSb2O4
1.0
8.602 0.000 0.000
0.000 8.602 0.000
0.000 0.000 6.070
Co Sb O
4 8 16
Direct
0.000 0.500 0.246
0.000 0.500 0.754
0.500 0.000 0.254
0.500 0.000 0.746
0.166 0.178 0.500
0.178 0.834 0.000
0.327 0.334 0.000
0.334 0.673 0.500
0.666 0.327 0.500
0.673 0.666 0.000
0.822 0.166 0.000
0.834 0.822 0.500
0.100 0.362 0.000
0.137 0.405 0.500
0.179 0.677 0.249
0.179 0.677 0.751
0.323 0.179 0.251
0.323 0.179 0.749
0.362 0.900 0.500
0.405 0.863 0.000
0.595 0.137 0.000
0.638 0.100 0.500
0.677 0.821 0.251
0.677 0.821 0.749
0.821 0.323 0.249
0.821 0.323 0.751
0.863 0.595 0.500
0.900 0.638 0.000
```

Crystal system = tetragonal
VASP energy = -6.006 eV/atom